CrAg6F8: optimized geometry, PBE+U.

## Properties
Total magnetic moment, μB per formula unit: 3.011
Crystal system: cubic
Theoretical density, Mg/m³: 5.49
Raw total energy, eV for the cell shown: -59.20
Space group: Fm-3m, No. 225

a = 7.1399 Å, b = 7.1399 Å, c = 7.1399 Å
α = 60.00°, β = 60.00°, γ = 60.00°
Sites, in units of the cell vectors:
Cr: 0.0000 0.0000 0.0000
Ag: 0.0000 0.0000 0.5000
Ag: 0.0000 0.5000 0.0000
Ag: 0.0000 0.5000 0.5000
Ag: 0.5000 0.0000 0.0000
Ag: 0.5000 0.0000 0.5000
Ag: 0.5000 0.5000 0.0000
F: 0.1940 0.1940 0.8060
F: 0.1940 0.8060 0.1940
F: 0.1940 0.8060 0.8060
F: 0.2500 0.2500 0.2500
F: 0.7500 0.7500 0.7500
F: 0.8060 0.1940 0.1940
F: 0.8060 0.1940 0.8060
F: 0.8060 0.8060 0.1940